(1)
NaPm2Hf: optimized geometry, GGA-PBE.

Cell and atoms, written as CIF:
```
data_NaPm2Hf
_chemical_formula_sum 'Na3 Pm6 Hf3'
_space_group_name_H-M_alt 'R -3 m'
_space_group_IT_number 166
_space_group_name_Hall '-R 3 2"'
_cell_length_a 3.4181
_cell_length_b 3.4181
_cell_length_c 37.2608
_cell_angle_alpha 90.00
_cell_angle_beta 90.00
_cell_angle_gamma 120.00
loop_
_atom_site_label
_atom_site_fract_x
_atom_site_fract_y
_atom_site_fract_z
Na1 0.0000 0.0000 0.0000
Pm1 0.0000 0.0000 0.0957
Hf1 0.0000 0.0000 0.5000
```

Computed properties:
* ΔH_f (0 K): 0.200 eV per atom
* M_tot: 0.00 μB/cell
* N(E_F): 0.802 states/eV/atom
* calculated total energy: -4.994 eV per atom

(2)
NaPm2Hf: optimized geometry, GGA-PBE.

Cell and atoms, written as CIF:
```
data_NaPm2Hf
_chemical_formula_sum 'Na1 Pm2 Hf1'
_space_group_name_H-M_alt 'P 4/m m m'
_space_group_IT_number 123
_space_group_name_Hall '-P 4 2'
_cell_length_a 3.424
_cell_length_b 3.424
_cell_length_c 10.584
_cell_angle_alpha 90.00
_cell_angle_beta 90.00
_cell_angle_gamma 90.00
loop_
_atom_site_label
_atom_site_fract_x
_atom_site_fract_y
_atom_site_fract_z
Na1 0.000 0.000 0.000
Pm1 0.500 0.500 0.283
Hf1 0.000 0.000 0.500
```

Computed properties:
* ΔH_f (0 K): 0.151 eV per atom
* M_tot: 0.00 μB/cell
* N(E_F): 1.110 states/eV/atom
* calculated total energy: -5.043 eV per atom